1.
DFT (meta-GGA SCAN) results for BaMo at its PBEsol-relaxed geometry.

Output
density of states at the Fermi level: 2.1 states/eV/f.u.
E_tot: -218.4 eV for the cell shown
E above lowest polymorph: 0 meV/atom
formation enthalpy at 0 K: 0.816 eV/atom

abc: 3.7004 7.5644 7.9730
angles: 115.16 90.00 104.16
Sites, in units of the cell vectors:
1 Mo 0.3737 0.7474 0.5298
2 Mo 0.9383 0.8767 0.3964
3 Mo 0.3223 0.6445 0.2070
4 Ba 0.9110 0.8221 0.9219
5 Ba 0.6577 0.3154 0.3281
6 Ba 0.6302 0.2605 0.7834


2.
DFT (meta-GGA SCAN) results for BaMo at its PBEsol-relaxed geometry.

Output
density of states at the Fermi level: 2.3 states/eV/f.u.
E_tot: -145.0 eV for the cell shown
E above lowest polymorph: 140 meV/atom
formation enthalpy at 0 K: 0.956 eV/atom

abc: 3.2410 4.3833 8.9523
angles: 90.00 90.00 90.00
Sites, in units of the cell vectors:
1 Ba 0.0000 0.2500 0.2921
2 Ba 0.0000 0.7500 0.7079
3 Mo 0.5000 0.7500 0.0425
4 Mo 0.5000 0.2500 0.9575


3.
DFT (meta-GGA SCAN) results for BaMo2 at its PBEsol-relaxed geometry.

Output
density of states at the Fermi level: 3.5 states/eV/f.u.
E_tot: -214.8 eV for the cell shown
E above lowest polymorph: 0 meV/atom
formation enthalpy at 0 K: 0.647 eV/atom

abc: 3.1717 4.2109 11.7591
angles: 90.00 97.75 90.00
Sites, in units of the cell vectors:
1 Mo 0.9534 0.2500 0.9068
2 Mo 0.5476 0.2500 0.0952
3 Mo 0.0466 0.7500 0.0932
4 Mo 0.4524 0.7500 0.9048
5 Ba 0.1719 0.2500 0.3438
6 Ba 0.8281 0.7500 0.6562


4.
DFT (meta-GGA SCAN) results for BaMo2 at its PBEsol-relaxed geometry.

Output
density of states at the Fermi level: 3.4 states/eV/f.u.
E_tot: -211.7 eV for the cell shown
E above lowest polymorph: 517 meV/atom
formation enthalpy at 0 K: 1.164 eV/atom

abc: 5.6471 5.6471 5.6471
angles: 60.00 60.00 60.00
Sites, in units of the cell vectors:
1 Mo 0.1250 0.6250 0.1250
2 Mo 0.1250 0.1250 0.1250
3 Mo 0.1250 0.1250 0.6250
4 Mo 0.6250 0.1250 0.1250
5 Ba 0.7500 0.7500 0.7500
6 Ba 0.5000 0.5000 0.5000


5.
DFT (meta-GGA SCAN) results for BaMo3 at its PBEsol-relaxed geometry.

Output
density of states at the Fermi level: 6.1 states/eV/f.u.
E_tot: -136.3 eV for the cell shown
E above lowest polymorph: 942 meV/atom
formation enthalpy at 0 K: 1.985 eV/atom

abc: 4.2357 4.2357 4.2357
angles: 90.00 90.00 90.00
Each line ends with the local moment (μB).
Sites, in units of the cell vectors:
1 Mo 0.5000 0.0000 0.5000  0.96
2 Mo 0.0000 0.5000 0.5000  0.96
3 Mo 0.5000 0.5000 0.0000  0.96
4 Ba 0.0000 0.0000 0.0000  0.24


6.
DFT (meta-GGA SCAN) results for Ba3MoN at its PBEsol-relaxed geometry.

Output
density of states at the Fermi level: 3.8 states/eV/f.u.
E_tot: -155.8 eV for the cell shown

abc: 5.6083 5.6083 5.6083
angles: 90.00 90.00 90.00
Each line ends with the local moment (μB).
Sites, in units of the cell vectors:
1 Mo 0.0000 0.0000 0.0000  0.04
2 N 0.5000 0.5000 0.5000  0.88
3 Ba 0.0000 0.0000 0.5000  -0.06
4 Ba 0.0000 0.5000 0.0000  -0.06
5 Ba 0.5000 0.0000 0.0000  -0.06


7.
DFT (meta-GGA SCAN) results for BaSrMoN2 at its PBEsol-relaxed geometry.

Output
density of states at the Fermi level: 3.4 states/eV/f.u.
E_tot: -104.4 eV for the cell shown

abc: 4.6843 4.6843 6.7010
angles: 90.00 90.00 90.00
Each line ends with the local moment (μB).
Sites, in units of the cell vectors:
1 N 0.5000 0.0000 0.0000  0.88
2 N 0.0000 0.5000 0.0000  0.88
3 Sr 0.0000 0.0000 0.5000  0.05
4 Ba 0.0000 0.0000 0.0000  0.02
5 Mo 0.5000 0.5000 0.5000  4.10


8.
DFT (meta-GGA SCAN) results for Ba3NbMo at its PBEsol-relaxed geometry.

Output
density of states at the Fermi level: 4.7 states/eV/f.u.
E_tot: -179.1 eV for the cell shown
formation enthalpy at 0 K: 1.511 eV/atom

abc: 5.8653 5.8653 5.8653
angles: 90.00 90.00 90.00
Each line ends with the local moment (μB).
Sites, in units of the cell vectors:
1 Mo 0.5000 0.5000 0.5000  4.14
2 Ba 0.5000 0.0000 0.0000  -0.04
3 Ba 0.0000 0.0000 0.5000  -0.04
4 Ba 0.0000 0.5000 0.0000  -0.04
5 Nb 0.0000 0.0000 0.0000  -0.70